1.
## TmTiBe17 (PBE)

Data for a geometry-optimized TmTiBe17 structure.

Properties
- Crystal system: trigonal
- D(E_F): 0.217 states/eV per atom
- Symmetry: R3m
- Calculated volume: 178.29 Å³/cell
- Energy of formation: -3.9 kcal/mol of atoms
- Total energy: -78.9 eV for the cell shown

CIF file:
```
data_TmTiBe17
_chemical_formula_sum 'Tm1 Ti1 Be17'
_symmetry_space_group_name_H-M 'P 1'
_symmetry_Int_Tables_number 1
_cell_length_a 5.668
_cell_length_b 5.668
_cell_length_c 5.668
_cell_angle_alpha 82.99
_cell_angle_beta 82.99
_cell_angle_gamma 82.99
loop_
_symmetry_equiv_pos_as_xyz
'x,y,z'
loop_
_atom_site_label
_atom_site_fract_x
_atom_site_fract_y
_atom_site_fract_z
Be1 0.286 0.710 0.003
Be2 0.499 0.002 0.002
Be3 0.003 0.710 0.286
Be4 0.161 0.655 0.655
Be5 0.100 0.100 0.100
Be6 0.002 0.499 0.002
Be7 0.906 0.906 0.906
Be8 0.710 0.003 0.286
Be9 0.002 0.002 0.499
Be10 0.655 0.655 0.161
Be11 0.846 0.340 0.340
Be12 0.340 0.846 0.340
Be13 0.003 0.286 0.710
Be14 0.655 0.161 0.655
Be15 0.710 0.286 0.003
Be16 0.340 0.340 0.846
Be17 0.286 0.003 0.710
Tm1 0.661 0.661 0.661
Ti1 0.334 0.334 0.334
```

2.
## Tm2TiBe (PBE)

Data for a geometry-optimized Tm2TiBe structure.

Properties
- Crystal system: tetragonal
- D(E_F): 1.175 states/eV per atom
- Symmetry: P4/mmm
- Calculated volume: 84.23 Å³/cell
- Energy of formation: 3.7 kcal/mol of atoms
- Total energy: -19.9 eV for the cell shown

CIF file:
```
data_Tm2TiBe
_chemical_formula_sum 'Tm2 Ti1 Be1'
_symmetry_space_group_name_H-M 'P 1'
_symmetry_Int_Tables_number 1
_cell_length_a 3.284
_cell_length_b 3.284
_cell_length_c 7.811
_cell_angle_alpha 90.00
_cell_angle_beta 90.00
_cell_angle_gamma 90.00
loop_
_symmetry_equiv_pos_as_xyz
'x,y,z'
loop_
_atom_site_label
_atom_site_fract_x
_atom_site_fract_y
_atom_site_fract_z
Be1 0.500 0.500 0.000
Ti1 0.500 0.500 0.500
Tm1 0.000 0.000 0.778
Tm2 0.000 0.000 0.222
```

3.
## UTi2Be (PBE)

Data for a geometry-optimized UTi2Be structure.

Properties
- Energy above the lowest structure with this stoichiometry: 264 meV per atom
- Crystal system: trigonal
- D(E_F): 1.333 states/eV per atom
- Symmetry: R-3m
- Calculated volume: 64.88 Å³/cell
- Energy of formation: 7.6 kcal/mol of atoms
- Total energy: -29.5 eV for the cell shown

CIF file:
```
data_UTi2Be
_chemical_formula_sum 'U1 Ti2 Be1'
_symmetry_space_group_name_H-M 'P 1'
_symmetry_Int_Tables_number 1
_cell_length_a 2.820
_cell_length_b 2.820
_cell_length_c 9.563
_cell_angle_alpha 81.52
_cell_angle_beta 81.52
_cell_angle_gamma 60.00
loop_
_symmetry_equiv_pos_as_xyz
'x,y,z'
loop_
_atom_site_label
_atom_site_fract_x
_atom_site_fract_y
_atom_site_fract_z
Ti1 0.902 0.902 0.295
Ti2 0.098 0.098 0.705
Be1 0.500 0.500 0.500
U1 0.000 0.000 0.000
```

4.
## UTi2Be (PBE)

Data for a geometry-optimized UTi2Be structure.

Properties
- Energy above the lowest structure with this stoichiometry: 133 meV per atom
- Crystal system: tetragonal
- D(E_F): 1.762 states/eV per atom
- Symmetry: P4/mmm
- Calculated volume: 64.19 Å³/cell
- Energy of formation: 4.6 kcal/mol of atoms
- Total energy: -30.0 eV for the cell shown

CIF file:
```
data_UTi2Be
_chemical_formula_sum 'U1 Ti2 Be1'
_symmetry_space_group_name_H-M 'P 1'
_symmetry_Int_Tables_number 1
_cell_length_a 3.605
_cell_length_b 4.220
_cell_length_c 4.220
_cell_angle_alpha 90.00
_cell_angle_beta 90.00
_cell_angle_gamma 90.00
loop_
_symmetry_equiv_pos_as_xyz
'x,y,z'
loop_
_atom_site_label
_atom_site_fract_x
_atom_site_fract_y
_atom_site_fract_z
Ti1 0.000 0.500 0.000
Ti2 0.000 0.000 0.500
Be1 0.500 0.000 0.000
U1 0.500 0.500 0.500
```